# Ho3Er3Sc2 GGA-PBE relaxed
# Mass density ... 7.64 Mg/m³
# Total moment ... 0.0 μB/cell
# Formation enthalpy at 0 K ... 92 meV per atom
# Raw total energy ... -4.9185 eV per atom
# Polymorph energy (0 for the lowest one) ... 0.000 eV/atom
data_Ho3Er3Sc2
_chemical_formula_sum 'Ho6 Er6 Sc4'
_cell_length_a 16.7311
_cell_length_b 5.3778
_cell_length_c 5.5528
_cell_angle_alpha 90.00
_cell_angle_beta 109.07
_cell_angle_gamma 90.00
_symmetry_space_group_name_H-M 'C 1 2/m 1'
_symmetry_Int_Tables_number 12
_symmetry_space_group_name_Hall '-C 2y'
loop_
_atom_site_label
_atom_site_type_symbol
_atom_site_fract_x
_atom_site_fract_y
_atom_site_fract_z
Ho1 Ho 0.0000 0.0000 0.0000
Ho2 Ho 0.1394 0.0000 0.6809
Er1 Er 0.0000 0.5000 0.5000
Er2 Er 0.1390 0.5000 0.0996
Sc1 Sc 0.2499 0.0000 0.3051